First-principles (PBE+U) data for a geometry-optimized Mn3ZnFe8O16 structure, as listed in Alexandria via LeMat-Bulk.

Calculated values
* uncorrected energy: -186.0 eV/cell
* mass density: 4.983 g/cm³
* total magnetic moment: 41.00 μB per cell

Structure (POSCAR):
```
Mn3ZnFe8O16
1.0
-5.4251 0.5533 2.5583
3.6979 -4.4582 1.7139
4.5348 3.0042 8.9681
O Fe Mn Zn
16 8 3 1
Direct
0.3931 0.2864 0.3588
0.3795 0.2589 0.8641
0.1235 0.7469 0.6408
0.6110 0.7220 0.6334
0.8800 0.2601 0.3474
0.8371 0.7316 0.3631
0.8957 0.7391 0.8705
0.1041 0.7082 0.1369
0.6507 0.2545 0.1357
0.6147 0.7295 0.1523
0.1038 0.2545 0.1357
0.8958 0.2915 0.8689
0.1637 0.2724 0.6288
0.6088 0.2725 0.6288
0.3943 0.7315 0.3631
0.3435 0.7391 0.8705
0.5016 0.5032 0.4966
0.2491 0.4945 0.2492
0.2521 0.0041 0.7515
0.2547 0.5062 0.7507
0.7469 0.9940 0.2492
0.7516 0.5062 0.7507
0.9984 0.4967 0.0040
0.7454 0.4945 0.2492
0.6865 0.8730 0.9451
0.8192 0.1383 0.5558
0.1865 0.8731 0.4296
0.3088 0.1176 0.0693
```